First-principles (PBE-GGA) data for an optimized crystal structure of Pm5Nd4Tm3, as listed in Alexandria via LeMat-Bulk.

The space group is C2/m (No. 12) and the conventional cell measures 16.386, 5.975 and 9.440 Å, with angles of 90.00, 116.71 and 90.00 degrees. Symmetry generates all atoms from Pm at (0.000, 0.000, 0.000), Pm at (0.074, 0.500, 0.704), Pm at (0.172, 0.500, 0.387), Nd at (0.083, 0.000, 0.442), Nd at (0.218, 0.000, 0.879), Tm at (0.000, 0.500, 0.000) and Tm at (0.210, 0.000, 0.229).

The calculation puts the energy at -4.4749 eV/atom. For the total magnetization, the calculation gives 0.00 μB/f.u. The calculation puts the density at 7.28 g/cm3. As for the formation energy: 212 meV per atom.